Entry 1:
CrRh2: relaxed, PBE-GGA.

extended XYZ file:
```
12
Lattice="5.106 0.000 0.000 -2.553 4.422 0.000 0.000 0.000 8.157" Properties=species:S:1:pos:R:3 pbc="T T T"
Cr 0.000 2.948 1.030
Cr 0.000 2.948 3.048
Cr 2.553 1.474 5.109
Cr 2.553 1.474 7.126
Rh 0.000 0.000 0.000
Rh 0.000 0.000 4.078
Rh 0.000 1.520 6.118
Rh -1.236 3.661 6.118
Rh 1.317 0.760 2.039
Rh 1.236 3.661 6.118
Rh 3.789 0.760 2.039
Rh 2.553 2.901 2.039
```

## Properties
**ΔH_f (0 K)**: 0.41 eV/atom
**Total DFT energy (no corrections)**: -92.3 eV/cell

Entry 2:
K3In5Ga2: relaxed, PBE-GGA.

extended XYZ file:
```
20
Lattice="-5.837 7.397 3.737 5.837 -7.397 3.737 5.837 7.397 -3.737" Properties=species:S:1:pos:R:3 pbc="T T T"
K 8.698 1.896 0.000
K 0.000 0.000 1.869
K 2.861 5.501 0.000
K 2.976 1.896 3.737
K 0.000 0.000 5.606
K -2.861 5.501 3.737
In 5.837 -3.585 1.869
In 4.138 1.757 0.000
In 5.837 0.000 1.869
In 4.138 -1.757 3.737
In 5.837 3.585 1.869
In 0.000 3.811 1.869
In 1.699 9.154 0.000
In 0.000 7.397 1.869
In 1.699 5.639 3.737
In 0.000 10.982 1.869
Ga 1.499 2.402 0.000
Ga 7.336 4.995 0.000
Ga -1.499 2.402 3.737
Ga 4.338 4.995 3.737
```

## Properties
**ΔH_f (0 K)**: -0.06 eV/atom
**Total DFT energy (no corrections)**: -47.3 eV/cell

Entry 3:
Pr12Tc3H5: relaxed, PBE-GGA.

extended XYZ file:
```
80
Lattice="-7.885 7.885 7.885 7.885 -7.885 7.885 7.885 7.885 -7.885" Properties=species:S:1:pos:R:3 pbc="T T T"
Pr 2.441 -0.507 0.994
Pr 9.387 4.936 -4.450
Pr 7.378 -0.994 2.441
Pr 12.335 -1.502 2.949
Pr 10.326 0.507 0.994
Pr 9.387 -2.949 4.450
Pr 0.994 2.441 -0.507
Pr 10.835 3.436 -1.502
Pr 4.936 4.450 -1.502
Pr 6.892 2.441 0.507
Pr -0.507 0.994 2.441
Pr 4.450 -1.502 4.936
Pr 7.378 6.892 -2.441
Pr 4.450 1.502 2.949
Pr 6.892 -2.441 7.378
Pr 4.936 -4.450 9.387
Pr 2.949 4.450 1.502
Pr 8.879 5.445 0.507
Pr 2.441 7.378 -0.994
Pr 9.387 2.949 3.436
Pr 4.450 9.387 -2.949
Pr 7.378 0.994 5.445
Pr 1.502 2.949 4.450
Pr 2.441 0.507 6.892
Pr 5.445 7.378 0.994
Pr 6.384 4.936 3.436
Pr 0.507 6.892 2.441
Pr 3.436 -1.502 10.835
Pr -1.502 4.936 4.450
Pr 5.445 0.507 8.879
Pr -0.994 2.441 7.378
Pr 4.936 3.436 6.384
Pr 2.949 12.335 -1.502
Pr 0.994 10.326 0.507
Pr 3.436 6.384 4.936
Pr 0.507 0.994 10.326
Pr 3.436 9.387 2.949
Pr 8.393 6.892 5.445
Pr 0.994 5.445 7.378
Pr 2.949 3.436 9.387
Pr -2.949 4.450 9.387
Pr 6.892 5.445 8.393
Pr -1.502 10.835 3.436
Pr -2.441 7.378 6.892
Pr -4.450 9.387 4.936
Pr 0.507 8.879 5.445
Pr -1.502 2.949 12.335
Pr 5.445 8.393 6.892
Tc 3.943 1.971 0.000
Tc 7.885 3.943 -1.971
Tc 1.971 0.000 3.943
Tc 9.857 0.000 3.943
Tc 0.000 3.943 1.971
Tc 3.943 -1.971 7.885
Tc 3.943 9.857 0.000
Tc 7.885 3.943 5.914
Tc -1.971 7.885 3.943
Tc 5.914 7.885 3.943
Tc 0.000 3.943 9.857
Tc 3.943 5.914 7.885
H 0.000 0.000 0.000
H 3.943 3.943 -3.943
H 3.943 -3.943 3.943
H 7.885 0.000 0.000
H 11.828 1.971 0.000
H 7.885 -3.943 5.914
H 5.914 7.885 -3.943
H 5.914 0.000 3.943
H 3.943 5.914 0.000
H 7.885 3.943 1.971
H -3.943 3.943 3.943
H 0.000 7.885 0.000
H 0.000 0.000 7.885
H 3.943 3.943 3.943
H 0.000 3.943 5.914
H 3.943 1.971 7.885
H 1.971 7.885 3.943
H 1.971 0.000 11.828
H 0.000 11.828 1.971
H -3.943 5.914 7.885
```

## Properties
**Total DFT energy (no corrections)**: -427.8 eV/cell

Entry 4:
LiGaSe2: relaxed, PBE-GGA.

extended XYZ file:
```
4
Lattice="3.807 0.000 0.000 -1.903 3.297 0.000 0.000 0.000 6.862" Properties=species:S:1:pos:R:3 pbc="T T T"
Li 0.000 0.000 0.000
Ga 1.904 1.099 3.892
Se 0.000 0.000 2.558
Se 0.000 2.198 5.488
```

## Properties
**Total DFT energy (no corrections)**: -14.8 eV/cell
**ΔE_f (raw)**: -726 meV/atom